## SiRuSe2 (PBE)

Data for crystalline SiRuSe2 at its relaxed geometry. Values from VASP.

As for the uncorrected energy: -4.9945 eV per atom. The formation energy (no corrections) comes out at 0.422 eV per atom. The calculated density is 7.2 g/cm3. The value obtained for the magnetic moment is 0.00 μB per formula unit.

```
&SYSTEM
  ibrav = 0, nat = 4, ntyp = 3
/
ATOMIC_SPECIES
Si 28.09 Si.upf
Ru 101.07 Ru.upf
Se 78.96 Se.upf
ATOMIC_POSITIONS crystal
Si 0.000 0.000 0.000
Ru 0.500 0.500 0.000
Se 0.000 0.500 0.500
Se 0.500 0.000 0.500
CELL_PARAMETERS angstrom
4.642 0.000 0.000
0.000 4.642 0.000
0.000 0.000 3.054
```

***

## Si2RuSe (PBE)

Data for crystalline Si2RuSe at its relaxed geometry. Values from VASP.

As for the uncorrected energy: -5.9941 eV per atom. The formation energy (no corrections) comes out at -0.092 eV per atom. The calculated density is 6.3 g/cm3. The value obtained for the magnetic moment is 0.00 μB per formula unit.

```
&SYSTEM
  ibrav = 0, nat = 4, ntyp = 3
/
ATOMIC_SPECIES
Si 28.09 Si.upf
Ru 101.07 Ru.upf
Se 78.96 Se.upf
ATOMIC_POSITIONS crystal
Si 0.000 0.000 0.205
Si 0.000 0.000 0.795
Ru 0.500 0.500 0.000
Se 0.000 0.500 0.500
CELL_PARAMETERS angstrom
2.888 0.000 0.000
0.000 3.085 0.000
0.000 0.000 7.027
```